Mg2Tl2Pb PBE-GGA optimized geometry; space-group type = I4/mmm, No. 139; total energy = -2.2188 eV/atom; formation energy = 0.11 eV per atom; total magnetic moment = 0.0 μB per formula unit
1.0
-4.211 -1.328 -1.300
-0.176 -2.920 3.554
-4.870 2.651 4.917
Mg Pb Tl
2 1 2
Direct
0.250 0.750 0.500
0.750 0.250 0.500
0.000 0.000 0.000
0.391 0.391 0.219
0.609 0.609 0.781

***

KCaPb4 PBE-GGA optimized geometry; space-group type = P2/m, No. 10; total energy = -3.2063 eV/atom; formation energy = -0.22 eV per atom; total magnetic moment = 0.0 μB per formula unit
1.0
3.644 0.000 -0.014
0.000 5.418 0.000
-0.112 0.000 10.077
Ca K Pb
1 1 4
Direct
0.500 0.500 0.500
0.500 0.000 0.000
0.037 0.500 0.190
0.963 0.500 0.810
0.863 0.000 0.348
0.137 0.000 0.652

***

SmHoNbN3 PBE-GGA optimized geometry; space-group type = P2_1/m, No. 11; formation energy without anion corrections = -1.1084 eV/atom; total energy = -8.4989 eV/atom; total magnetic moment = 0.0 μB per formula unit
1.0
-0.407 -2.235 -2.433
0.858 -4.837 4.302
-9.327 0.451 1.144
Nb N Ho Sm
2 6 2 2
Direct
0.250 0.137 0.581
0.750 0.863 0.419
0.750 0.896 0.205
0.250 0.800 0.542
0.750 0.404 0.129
0.750 0.200 0.458
0.250 0.104 0.795
0.250 0.596 0.871
0.250 0.667 0.111
0.750 0.333 0.889
0.750 0.799 0.757
0.250 0.201 0.243

***

TbNpBi2 PBE-GGA optimized geometry; space-group type = R-3m, No. 166; total energy = -6.7092 eV/atom; formation energy = -0.38 eV per atom; total magnetic moment = 4.0 μB per formula unit
1.0
4.488 0.000 0.000
2.244 3.887 0.000
2.244 1.296 7.403
Bi Tb Np
2 1 1
Direct
0.750 0.750 0.751
0.250 0.250 0.249
0.000 0.000 0.000
0.500 0.500 0.500

***

Er2HfScSb4 PBE-GGA optimized geometry; space-group type = P2/m, No. 10; formation energy without anion corrections = -0.8852 eV/atom; total energy = -6.1228 eV/atom; total magnetic moment = 0.0 μB per formula unit
1.0
4.233 0.000 0.000
0.000 7.324 0.132
0.000 -2.555 6.887
Hf Er Sb Sc
1 2 4 1
Direct
0.000 0.000 0.000
0.500 0.000 0.500
0.000 0.500 0.500
0.500 0.756 0.764
0.500 0.244 0.236
0.000 0.253 0.764
0.000 0.747 0.236
0.500 0.500 0.000

***

CsTlSn PBE-GGA optimized geometry; space-group type = Cm, No. 8; total energy = -2.6090 eV/atom; formation energy = -0.20 eV per atom; total magnetic moment = 0.0 μB per formula unit
1.0
-3.832 -7.483 -11.656
2.623 -4.525 -6.769
-0.695 0.870 8.481
Sn Tl Cs
2 2 2
Direct
0.290 0.702 0.298
0.207 0.382 0.618
0.987 0.377 0.623
0.889 0.096 0.904
0.424 0.892 0.108
0.750 0.892 0.108

***

Rb3Er2PuS6 PBE-GGA optimized geometry; space-group type = C2/m, No. 12; formation energy without anion corrections = -1.7365 eV/atom; total energy = -5.9970 eV/atom; total magnetic moment = 5.0 μB per formula unit
1.0
-6.243 3.272 -0.731
0.295 -6.469 2.878
2.808 4.194 6.230
S Er Rb Pu
6 2 3 1
Direct
0.064 0.403 0.190
0.936 0.597 0.810
0.724 0.724 0.191
0.403 0.064 0.190
0.276 0.276 0.809
0.597 0.936 0.810
0.667 0.333 0.000
0.333 0.667 0.000
0.500 0.500 0.500
0.834 0.166 0.500
0.166 0.834 0.500
0.000 0.000 0.000

***

TeAs2Br PBE-GGA optimized geometry; space-group type = I-4m2, No. 119; formation energy without anion corrections = 0.5039 eV/atom; total energy = -3.0245 eV/atom; total magnetic moment = 0.0 μB per formula unit
1.0
-0.549 -3.911 -3.183
-2.195 -2.757 3.649
-1.817 4.578 -1.211
Te As Br
1 2 1
Direct
0.750 0.250 0.500
0.250 0.750 0.500
0.000 0.000 0.000
0.500 0.500 0.000